Record 1
# La2ThUN4 | Alexandria | GGA-PBE | relaxed
data_La2ThUN4
_cell_length_a 6.2694
_cell_length_b 3.6224
_cell_length_c 6.3109
_cell_angle_alpha 90.00
_cell_angle_beta 109.17
_cell_angle_gamma 90.00
_symmetry_space_group_name_H-M 'P 1'
_symmetry_Int_Tables_number 1
loop_
_symmetry_equiv_pos_as_xyz
'x,y,z'
loop_
_atom_site_label
_atom_site_fract_x
_atom_site_fract_y
_atom_site_fract_z
La1 0.0000 0.0000 0.0000
La2 0.5000 0.5000 0.0000
Th1 0.0000 0.5000 0.5000
U1 0.5000 0.0000 0.5000
N1 0.2677 0.0000 0.7072
N2 0.2886 0.5000 0.2993
N3 0.7114 0.5000 0.7007
N4 0.7323 0.0000 0.2928
# Total magnetic moment = 0.00 μB per cell
# E_form (uncorrected) = -1.46 eV/atom
# Total energy = -9.19 eV/atom
# Calculated volume = 16.9 Å³/atom

=====

Record 2
# LaThWN4 | Alexandria | GGA-PBE | relaxed
data_LaThWN4
_cell_length_a 6.9581
_cell_length_b 6.9581
_cell_length_c 5.6138
_cell_angle_alpha 90.00
_cell_angle_beta 90.00
_cell_angle_gamma 132.29
_symmetry_space_group_name_H-M 'P 1'
_symmetry_Int_Tables_number 1
loop_
_symmetry_equiv_pos_as_xyz
'x,y,z'
loop_
_atom_site_label
_atom_site_fract_x
_atom_site_fract_y
_atom_site_fract_z
La1 0.1036 0.8964 0.7500
La2 0.8964 0.1036 0.2500
Th1 0.3944 0.6056 0.7500
Th2 0.6056 0.3944 0.2500
W1 0.2444 0.7556 0.2500
W2 0.7556 0.2444 0.7500
N1 0.0000 0.5000 0.0000
N2 0.0000 0.5000 0.5000
N3 0.0843 0.9157 0.2500
N4 0.4257 0.5743 0.2500
N5 0.5000 0.0000 0.0000
N6 0.5000 0.0000 0.5000
N7 0.5743 0.4257 0.7500
N8 0.9157 0.0843 0.7500
# Total magnetic moment = 0.00 μB per cell
# E_form (uncorrected) = -1.22 eV/atom
# Total energy = -9.59 eV/atom
# Calculated volume = 14.4 Å³/atom

=====

Record 3
# LaYTh2N4 | Alexandria | GGA-PBE | relaxed
data_LaYTh2N4
_cell_length_a 6.2767
_cell_length_b 3.6519
_cell_length_c 6.3374
_cell_angle_alpha 90.00
_cell_angle_beta 109.55
_cell_angle_gamma 90.00
_symmetry_space_group_name_H-M 'P 1'
_symmetry_Int_Tables_number 1
loop_
_symmetry_equiv_pos_as_xyz
'x,y,z'
loop_
_atom_site_label
_atom_site_fract_x
_atom_site_fract_y
_atom_site_fract_z
La1 0.0000 0.0000 0.0000
Y1 0.0000 0.5000 0.5000
Th1 0.5000 0.0000 0.5000
Th2 0.5000 0.5000 0.0000
N1 0.2562 0.0000 0.7442
N2 0.2642 0.5000 0.2629
N3 0.7358 0.5000 0.7371
N4 0.7438 0.0000 0.2558
# Total magnetic moment = 0.00 μB per cell
# E_form (uncorrected) = -1.54 eV/atom
# Total energy = -8.98 eV/atom
# Calculated volume = 17.1 Å³/atom